First-principles (PBE) data for an optimized crystal structure of Y3Ge2Ir, as listed in Alexandria via LeMat-Bulk.

## Properties
ΔE_f (eV/f.u.): -5.3
Crystal system: orthorhombic
Space group: Pnma, No. 62
Calculated volume (Å³ per atom): 23.4

Unit cell a=11.740 b=4.238 c=11.288 alpha=90.00 beta=90.00 gamma=90.00
Element x y z (fractional)
Y (0.055, 0.250, 0.129)
Y (0.121, 0.750, 0.555)
Y (0.224, 0.250, 0.800)
Y (0.276, 0.750, 0.300)
Y (0.379, 0.250, 0.055)
Y (0.445, 0.750, 0.629)
Y (0.555, 0.250, 0.371)
Y (0.621, 0.750, 0.945)
Y (0.724, 0.250, 0.700)
Y (0.776, 0.750, 0.200)
Y (0.879, 0.250, 0.445)
Y (0.945, 0.750, 0.871)
Ge (0.009, 0.750, 0.311)
Ge (0.189, 0.750, 0.002)
Ge (0.311, 0.250, 0.502)
Ge (0.491, 0.250, 0.811)
Ge (0.509, 0.750, 0.189)
Ge (0.689, 0.750, 0.498)
Ge (0.811, 0.250, 0.998)
Ge (0.991, 0.250, 0.689)
Ir (0.130, 0.250, 0.372)
Ir (0.370, 0.750, 0.872)
Ir (0.630, 0.250, 0.128)
Ir (0.870, 0.750, 0.628)

First-principles (PBE) data for an optimized crystal structure of MgBrCl, as listed in Alexandria via LeMat-Bulk.

## Properties
Crystal system: triclinic
Space group: P-1, No. 2
Uncorrected formation energy (eV/atom): -1.667
Distance to the lowest polymorph of the same formula (eV/atom): 0.002
Calculated volume (Å³ per atom): 28.7

Unit cell a=3.769 b=6.529 c=7.820 alpha=112.36 beta=103.46 gamma=90.01
Element x y z (fractional)
Mg (0.000, 0.000, 0.000)
Mg (0.500, 0.500, 0.000)
Br (0.108, 0.768, 0.224)
Br (0.892, 0.232, 0.776)
Cl (0.409, 0.746, 0.812)
Cl (0.591, 0.254, 0.188)

First-principles (PBE) data for an optimized crystal structure of Ba2InHg4Pb2, as listed in Alexandria via LeMat-Bulk.

## Properties
ΔE_f (eV/f.u.): -3.1
Crystal system: tetragonal
Space group: I4/mmm, No. 139
Calculated volume (Å³ per atom): 32.5

Unit cell a=7.445 b=7.445 c=7.445 alpha=119.91 beta=119.91 gamma=90.16
Element x y z (fractional)
Ba (0.250, 0.750, 0.500)
Ba (0.750, 0.250, 0.500)
In (0.000, 0.000, 0.000)
Hg (0.278, 0.278, 0.555)
Hg (0.278, 0.722, 0.000)
Hg (0.722, 0.278, 0.000)
Hg (0.722, 0.722, 0.445)
Pb (0.300, 0.300, 0.000)
Pb (0.700, 0.700, 0.000)

First-principles (PBE) data for an optimized crystal structure of K2Zn2Cd, as listed in Alexandria via LeMat-Bulk.

## Properties
ΔE_f (eV/f.u.): 0.4
Crystal system: tetragonal
Space group: P4/mbm, No. 127
Distance to the lowest polymorph of the same formula (eV/atom): 0.000
Calculated volume (Å³ per atom): 31.1

Unit cell a=7.468 b=7.468 c=5.576 alpha=90.00 beta=90.00 gamma=90.00
Element x y z (fractional)
K (0.182, 0.318, 0.000)
K (0.318, 0.818, 0.000)
K (0.682, 0.182, 0.000)
K (0.818, 0.682, 0.000)
Zn (0.125, 0.625, 0.500)
Zn (0.375, 0.125, 0.500)
Zn (0.625, 0.875, 0.500)
Zn (0.875, 0.375, 0.500)
Cd (0.000, 0.000, 0.500)
Cd (0.500, 0.500, 0.500)

First-principles (PBE) data for an optimized crystal structure of Ni5GePt, as listed in Alexandria via LeMat-Bulk.

## Properties
ΔE_f (eV/f.u.): -0.4
Crystal system: orthorhombic
Space group: Cmmm, No. 65
Calculated volume (Å³ per atom): 13.0

Unit cell a=4.349 b=4.349 c=5.089 alpha=90.00 beta=90.00 gamma=109.21
Element x y z (fractional)
Ni (0.000, 0.000, 0.000)
Ni (0.000, 0.500, 0.248)
Ni (0.000, 0.500, 0.752)
Ni (0.500, 0.000, 0.248)
Ni (0.500, 0.000, 0.752)
Ge (0.500, 0.500, 0.000)
Pt (0.000, 0.000, 0.500)

First-principles (PBE) data for an optimized crystal structure of CaIn12Hg7, as listed in Alexandria via LeMat-Bulk.

## Properties
ΔE_f (eV/f.u.): -0.4
Crystal system: trigonal
Space group: R-3, No. 148
Distance to the lowest polymorph of the same formula (eV/atom): 0.014
Calculated volume (Å³ per atom): 27.7

Unit cell a=8.290 b=8.290 c=8.290 alpha=97.59 beta=97.59 gamma=97.59
Element x y z (fractional)
Ca (0.000, 0.000, 0.000)
In (0.109, 0.257, 0.742)
In (0.162, 0.597, 0.470)
In (0.257, 0.742, 0.109)
In (0.258, 0.891, 0.743)
In (0.403, 0.530, 0.838)
In (0.470, 0.162, 0.597)
In (0.530, 0.838, 0.403)
In (0.597, 0.470, 0.162)
In (0.742, 0.109, 0.257)
In (0.743, 0.258, 0.891)
In (0.838, 0.403, 0.530)
In (0.891, 0.743, 0.258)
Hg (0.107, 0.383, 0.132)
Hg (0.132, 0.107, 0.383)
Hg (0.383, 0.132, 0.107)
Hg (0.500, 0.500, 0.500)
Hg (0.617, 0.868, 0.893)
Hg (0.868, 0.893, 0.617)
Hg (0.893, 0.617, 0.868)

First-principles (PBE) data for an optimized crystal structure of MgTcSnH, as listed in Alexandria via LeMat-Bulk.

## Properties
Crystal system: monoclinic
Space group: Cm, No. 8
Distance to the lowest polymorph of the same formula (eV/atom): 0.125
Calculated volume (Å³ per atom): 15.6

Unit cell a=5.071 b=5.071 c=3.608 alpha=95.28 beta=95.28 gamma=42.57
Element x y z (fractional)
Mg (0.000, 0.000, 0.000)
Tc (0.601, 0.601, 0.516)
Sn (0.309, 0.309, 0.507)
H (0.651, 0.651, 0.031)

First-principles (PBE) data for an optimized crystal structure of Pm2HoAgTe5, as listed in Alexandria via LeMat-Bulk.

## Properties
Crystal system: orthorhombic
Space group: Cmc2_1, No. 36
Uncorrected formation energy (eV/atom): -1.167
Calculated volume (Å³ per atom): 30.4

Unit cell a=9.677 b=9.677 c=13.287 alpha=90.00 beta=90.00 gamma=153.89
Element x y z (fractional)
Pm (0.111, 0.889, 0.500)
Pm (0.126, 0.874, 0.118)
Pm (0.874, 0.126, 0.618)
Pm (0.889, 0.111, 0.000)
Ho (0.192, 0.808, 0.822)
Ho (0.808, 0.192, 0.322)
Ag (0.431, 0.569, 0.274)
Ag (0.569, 0.431, 0.774)
Te (0.042, 0.958, 0.892)
Te (0.286, 0.714, 0.481)
Te (0.306, 0.694, 0.154)
Te (0.356, 0.644, 0.812)
Te (0.499, 0.501, 0.593)
Te (0.501, 0.499, 0.093)
Te (0.644, 0.356, 0.312)
Te (0.694, 0.306, 0.654)
Te (0.714, 0.286, 0.981)
Te (0.958, 0.042, 0.392)

First-principles (PBE) data for an optimized crystal structure of Sm8TlSe6, as listed in Alexandria via LeMat-Bulk.

## Properties
Crystal system: trigonal
Space group: P-3, No. 147
Uncorrected formation energy (eV/atom): -1.356
Calculated volume (Å³ per atom): 28.2

Unit cell a=10.823 b=10.823 c=4.169 alpha=90.00 beta=90.00 gamma=120.00
Element x y z (fractional)
Sm (0.036, 0.707, 0.251)
Sm (0.293, 0.328, 0.251)
Sm (0.328, 0.036, 0.749)
Sm (0.333, 0.667, 0.749)
Sm (0.667, 0.333, 0.251)
Sm (0.672, 0.964, 0.251)
Sm (0.707, 0.672, 0.749)
Sm (0.964, 0.293, 0.749)
Tl (0.000, 0.000, 0.500)
Se (0.133, 0.484, 0.251)
Se (0.351, 0.867, 0.251)
Se (0.484, 0.351, 0.749)
Se (0.516, 0.649, 0.251)
Se (0.649, 0.133, 0.749)
Se (0.867, 0.516, 0.749)

First-principles (PBE) data for an optimized crystal structure of YNiH8Rh2, as listed in Alexandria via LeMat-Bulk.

## Properties
Crystal system: trigonal
Uncorrected energy (eV/atom): -4.705
Space group: R-3, No. 148
Calculated volume (Å³ per atom): 8.1

Unit cell a=5.988 b=5.988 c=5.988 alpha=44.96 beta=44.96 gamma=44.96
Element x y z (fractional)
Y (0.000, 0.000, 0.000)
Ni (0.500, 0.500, 0.500)
H (0.155, 0.783, 0.405)
H (0.217, 0.595, 0.845)
H (0.315, 0.315, 0.315)
H (0.405, 0.155, 0.783)
H (0.595, 0.845, 0.217)
H (0.685, 0.685, 0.685)
H (0.783, 0.405, 0.155)
H (0.845, 0.217, 0.595)
Rh (0.213, 0.213, 0.213)
Rh (0.787, 0.787, 0.787)

First-principles (PBE) data for an optimized crystal structure of AlTcOs2, as listed in Alexandria via LeMat-Bulk.

## Properties
ΔE_f (eV/f.u.): 0.2
Crystal system: orthorhombic
Space group: Pmmm, No. 47
Calculated volume (Å³ per atom): 14.4

Unit cell a=2.907 b=4.408 c=4.486 alpha=90.00 beta=90.00 gamma=90.00
Element x y z (fractional)
Al (0.000, 0.000, 0.000)
Tc (0.500, 0.000, 0.500)
Os (0.000, 0.500, 0.500)
Os (0.500, 0.500, 0.000)

First-principles (PBE) data for an optimized crystal structure of TmInBr, as listed in Alexandria via LeMat-Bulk.

## Properties
Crystal system: monoclinic
Space group: C2/m, No. 12
Uncorrected formation energy (eV/atom): -0.894
Calculated volume (Å³ per atom): 29.7

Unit cell a=3.877 b=3.877 c=13.860 alpha=98.12 beta=98.12 gamma=59.99
Element x y z (fractional)
Tm (0.090, 0.090, 0.272)
Tm (0.910, 0.910, 0.728)
In (0.191, 0.191, 0.571)
In (0.809, 0.809, 0.429)
Br (0.379, 0.379, 0.140)
Br (0.621, 0.621, 0.860)

First-principles (PBE) data for an optimized crystal structure of SrSn2I, as listed in Alexandria via LeMat-Bulk.

## Properties
Crystal system: tetragonal
Space group: I-42d, No. 122
Uncorrected formation energy (eV/atom): -0.153
Distance to the lowest polymorph of the same formula (eV/atom): 0.000
Calculated volume (Å³ per atom): 37.5

Unit cell a=7.595 b=7.595 c=7.595 alpha=99.77 beta=99.77 gamma=131.36
Element x y z (fractional)
Sr (0.000, 0.000, 0.000)
Sr (0.750, 0.250, 0.500)
Sn (0.131, 0.625, 0.006)
Sn (0.375, 0.381, 0.506)
Sn (0.619, 0.125, 0.994)
Sn (0.875, 0.869, 0.494)
I (0.250, 0.750, 0.500)
I (0.500, 0.500, 0.000)

First-principles (PBE) data for an optimized crystal structure of Ta3Au5, as listed in Alexandria via LeMat-Bulk.

## Properties
ΔE_f (eV/f.u.): 0.3
Crystal system: triclinic
Space group: P-1, No. 2
Distance to the lowest polymorph of the same formula (eV/atom): 0.000
Calculated volume (Å³ per atom): 17.9

Unit cell a=5.731 b=7.536 c=7.557 alpha=84.32 beta=69.52 gamma=69.43
Element x y z (fractional)
Ta (0.004, 0.088, 0.166)
Ta (0.249, 0.533, 0.969)
Ta (0.495, 0.334, 0.413)
Ta (0.505, 0.666, 0.587)
Ta (0.751, 0.467, 0.031)
Ta (0.996, 0.912, 0.834)
Au (0.007, 0.587, 0.663)
Au (0.232, 0.211, 0.793)
Au (0.249, 0.038, 0.463)
Au (0.269, 0.706, 0.289)
Au (0.494, 0.838, 0.912)
Au (0.506, 0.162, 0.088)
Au (0.731, 0.294, 0.711)
Au (0.751, 0.962, 0.537)
Au (0.768, 0.789, 0.207)
Au (0.993, 0.413, 0.337)

First-principles (PBE) data for an optimized crystal structure of SrPt6Au6, as listed in Alexandria via LeMat-Bulk.

## Properties
ΔE_f (eV/f.u.): -2.8
Crystal system: orthorhombic
Space group: Immm, No. 71
Calculated volume (Å³ per atom): 18.6

Unit cell a=7.185 b=7.185 c=7.185 alpha=134.95 beta=98.65 gamma=98.23
Element x y z (fractional)
Sr (0.000, 0.000, 0.000)
Pt (0.000, 0.000, 0.500)
Pt (0.000, 0.500, 0.000)
Pt (0.238, 0.500, 0.738)
Pt (0.500, 0.000, 0.000)
Pt (0.500, 0.500, 0.500)
Pt (0.762, 0.500, 0.262)
Au (0.196, 0.696, 0.500)
Au (0.336, 0.000, 0.336)
Au (0.346, 0.346, 0.000)
Au (0.654, 0.654, 0.000)
Au (0.664, 0.000, 0.664)
Au (0.804, 0.304, 0.500)

Computed calculated density (g/cm3) in order:
7.15, 2.69, 9.13, 3.43, 10.25, 8.47, 6.44, 7.28, 7.39, 6.15, 14.60, 6.79, 5.01, 17.73, 16.71
Computed size of the total moment (μB/f.u.) in order:
0.0, 0.0, 0.0, 0.0, 1.2, 0.0, 0.0, 0.0, 0.0, 0.0, 0.0, 0.0, 0.0, 0.0, 0.0